[1]
Material: K2RbPdAu
Method: DFT, GGA-PBE
State: optimized geometry

The space group is P4/mmm (No. 123) and the conventional cell measures 6.186, 6.186 and 5.344 Å, with angles of 90.00, 90.00 and 90.00 degrees. The asymmetric unit holds K at (0.000, 0.500, 0.000), Rb at (0.000, 0.000, 0.500), Pd at (0.500, 0.500, 0.500) and Au at (0.500, 0.500, 0.000).

As for the volume: 40.89 Å³/atom. For the energy above the most stable polymorph in this dataset, the calculation gives 0.0330 eV per atom. Its density of states at the Fermi level is 1.5 states/eV/cell.


[2]
Material: K2RbPdAu
Method: DFT, GGA-PBE
State: optimized geometry

The space group is P4/mmm (No. 123) and the conventional cell measures 6.052, 6.052 and 5.404 Å, with angles of 90.00, 90.00 and 90.00 degrees. The asymmetric unit holds K at (0.000, 0.500, 0.000), Rb at (0.000, 0.000, 0.500), Pd at (0.500, 0.500, 0.000) and Au at (0.500, 0.500, 0.500).

As for the volume: 39.59 Å³/atom. For the energy above the most stable polymorph in this dataset, the calculation gives 0.0000 eV per atom. Its density of states at the Fermi level is 1.4 states/eV/cell.


[3]
Material: KPdAuS2
Method: DFT, GGA-PBE
State: optimized geometry

The space group is Cmme (No. 67) and the conventional cell measures 6.236, 13.192 and 5.650 Å, with angles of 90.00, 90.00 and 90.00 degrees. The asymmetric unit holds K at (0.000, 0.250, 0.227), Pd at (0.250, 0.000, 0.500), Au at (0.000, 0.000, 0.000) and S at (0.000, 0.118, 0.690).

As for the volume: 23.24 Å³/atom. Its density of states at the Fermi level is 11.9 states/eV/cell. The raw formation energy comes out at -2.10 eV/f.u.


[4]
Material: K2Sb4PdAu3
Method: DFT, GGA-PBE
State: optimized geometry

The space group is P-4m2 (No. 115) and the conventional cell measures 4.844, 4.844 and 11.232 Å, with angles of 90.00, 90.00 and 90.00 degrees. The asymmetric unit holds K at (0.000, 0.500, 0.241), Sb at (0.000, 0.000, 0.500), Sb at (0.000, 0.500, 0.880), Sb at (0.500, 0.500, 0.500), Pd at (0.500, 0.500, 0.000), Au at (0.000, 0.000, 0.000) and Au at (0.000, 0.500, 0.636).

As for the volume: 26.35 Å³/atom. Its density of states at the Fermi level is 4.9 states/eV/cell. The raw formation energy comes out at -3.27 eV/f.u.


[5]
Material: KSbPdAu
Method: DFT, GGA-PBE
State: optimized geometry

The space group is P4/nmm (No. 129, origin choice 2) and the conventional cell measures 3.959, 3.959 and 13.868 Å, with angles of 90.00, 90.00 and 90.00 degrees. The asymmetric unit holds K at (0.250, 0.250, 0.202), Sb at (0.250, 0.250, 0.632), Pd at (0.250, 0.750, 0.500) and Au at (0.250, 0.750, 0.000).

As for the volume: 27.17 Å³/atom. Its density of states at the Fermi level is 5.4 states/eV/cell. The raw formation energy comes out at -1.14 eV/f.u.


[6]
Material: KSb2PdAu
Method: DFT, GGA-PBE
State: optimized geometry

The space group is P4mm (No. 99) and the conventional cell measures 5.146, 5.146 and 6.628 Å, with angles of 90.00, 90.00 and 90.00 degrees. The asymmetric unit holds K at (0.000, 0.000, 0.000), Sb at (0.000, 0.500, 0.415), Pd at (0.000, 0.000, 0.528) and Au at (0.500, 0.500, 0.256).

As for the volume: 35.10 Å³/atom. Its density of states at the Fermi level is 2.4 states/eV/cell. The raw formation energy comes out at -1.08 eV/f.u.


Question: Number 4 is which compound?
Answer: K2Sb4PdAu3


Repeat the sixth record exactly.
Material: KSb2PdAu
Method: DFT, GGA-PBE
State: optimized geometry

The space group is P4mm (No. 99) and the conventional cell measures 5.146, 5.146 and 6.628 Å, with angles of 90.00, 90.00 and 90.00 degrees. The asymmetric unit holds K at (0.000, 0.000, 0.000), Sb at (0.000, 0.500, 0.415), Pd at (0.000, 0.000, 0.528) and Au at (0.500, 0.500, 0.256).

As for the volume: 35.10 Å³/atom. Its density of states at the Fermi level is 2.4 states/eV/cell. The raw formation energy comes out at -1.08 eV/f.u.